Entry 1:
A plane-wave DFT calculation with PBE-GGA was carried out for a relaxed structure of Ag3HgS2.

Output
VASP energy = -50.49 eV/cell
Formation energy without anion corrections = 47 meV/atom
M_tot = 0.00 μB per cell
D(E_F) = 0.49 states/eV/atom

Cell: 6.4115 6.4115 13.0387 Å, 90.00 90.00 120.00°
Space group R-3m (No. 166, hexagonal axes)
Symmetry-distinct sites (fractional):
Ag: 0.0000 0.5000 0.0000 [9 per cell]
Hg: 0.0000 0.0000 0.0000 [3 per cell]
S: 0.0000 0.0000 0.2182 [6 per cell]


Entry 2:
A plane-wave DFT calculation with PBE-GGA was carried out for a relaxed structure of Tc4HgPt.

Output
VASP energy = -178.71 eV/cell
ΔH_f (0 K) = 521 meV/atom
M_tot = 0.00 μB per cell
D(E_F) = 1.60 states/eV/atom

Cell: 7.3196 7.3196 7.3196 Å, 90.00 90.00 90.00°
Space group F-43m (No. 216)
Symmetry-distinct sites (fractional):
Tc: 0.1241 0.1241 0.1241 [16 per cell]
Hg: 0.0000 0.0000 0.5000 [4 per cell]
Pt: 0.2500 0.2500 0.7500 [4 per cell]


What is the VASP energy in the second record?
-178.71 eV/cell